Sr2SbRh: optimized geometry, PBE.

Results
DOS(E_F) ... 0.27 states/eV per atom
Mass density ... 5.33 Mg/m³
Formation energy without anion corrections ... -2.6 eV/f.u.
Crystal system ... monoclinic

Lattice parameters (Å, degrees): 4.8984 5.7898 9.6938 115.09 90.00 90.00
Fractional coordinates of all 8 atoms:
Sb1 0.2500 0.4061 0.7333
Sb2 0.7500 0.5939 0.2667
Rh1 0.2500 0.4037 0.2269
Rh2 0.7500 0.5963 0.7731
Sr1 0.2500 0.7675 0.5546
Sr2 0.2500 0.8169 0.0899
Sr3 0.7500 0.1831 0.9101
Sr4 0.7500 0.2325 0.4454

---

La3Tb3Th2: optimized geometry, PBE.

Results
DOS(E_F) ... 1.51 states/eV per atom
Mass density ... 8.31 Mg/m³
Formation energy from the elements ... 0.3 eV per formula unit
Crystal system ... orthorhombic

Lattice parameters (Å, degrees): 5.0723 5.1231 11.0417 103.41 103.28 90.00
Fractional coordinates of all 8 atoms:
La1 0.3701 0.3701 0.7403
La2 0.6299 0.6299 0.2597
La3 0.5000 0.0000 0.0000
Tb1 0.8703 0.8703 0.7405
Tb2 0.1297 0.1297 0.2595
Tb3 0.0000 0.5000 0.0000
Th1 0.2504 0.7504 0.5008
Th2 0.7496 0.2496 0.4992

---

TbCeSmEr: optimized geometry, PBE.

Results
DOS(E_F) ... 2.62 states/eV per atom
Mass density ... 7.90 Mg/m³
Formation energy from the elements ... 0.8 eV per formula unit
Crystal system ... cubic

Lattice parameters (Å, degrees): 5.6812 5.6812 5.6812 60.00 60.00 60.00
Fractional coordinates of all 4 atoms:
Sm1 0.2500 0.2500 0.2500
Ce1 0.0000 0.0000 0.0000
Tb1 0.7500 0.7500 0.7500
Er1 0.5000 0.5000 0.5000

---

Pa2SbMo: optimized geometry, PBE.

Results
DOS(E_F) ... 1.57 states/eV per atom
Mass density ... 12.22 Mg/m³
Formation energy without anion corrections ... -0.5 eV/f.u.
Crystal system ... tetragonal

Lattice parameters (Å, degrees): 3.8307 3.8307 6.2953 90.00 90.00 90.00
Fractional coordinates of all 4 atoms:
Pa1 0.0000 0.0000 0.7394
Pa2 0.0000 0.0000 0.2606
Mo1 0.5000 0.5000 0.5000
Sb1 0.5000 0.5000 0.0000

---

CsSnSbTe2: optimized geometry, PBE.

Results
DOS(E_F) ... 0.98 states/eV per atom
Mass density ... 5.06 Mg/m³
Formation energy without anion corrections ... -0.2 eV/f.u.
Crystal system ... tetragonal

Lattice parameters (Å, degrees): 5.9829 5.9829 5.7583 90.00 90.00 90.00
Fractional coordinates of all 5 atoms:
Te1 0.0000 0.5000 0.0000
Te2 0.5000 0.0000 0.0000
Cs1 0.5000 0.5000 0.5000
Sn1 0.0000 0.0000 0.0000
Sb1 0.0000 0.0000 0.5000

---

Tm2TlCd2: optimized geometry, PBE.

Results
DOS(E_F) ... 0.74 states/eV per atom
Mass density ... 9.88 Mg/m³
Formation energy from the elements ... -1.0 eV per formula unit
Crystal system ... tetragonal

Lattice parameters (Å, degrees): 4.3604 7.6910 7.6910 90.00 90.00 90.00
Fractional coordinates of all 10 atoms:
Tl1 0.0000 0.5000 0.5000
Tl2 0.0000 0.0000 0.0000
Cd1 0.0000 0.6300 0.1300
Cd2 0.0000 0.8700 0.6300
Cd3 0.0000 0.1300 0.3700
Cd4 0.0000 0.3700 0.8700
Tm1 0.5000 0.8324 0.3324
Tm2 0.5000 0.6676 0.8324
Tm3 0.5000 0.3324 0.1676
Tm4 0.5000 0.1676 0.6676

---

NdNpU2As4: optimized geometry, PBE.

Results
DOS(E_F) ... 2.54 states/eV per atom
Mass density ... 9.61 Mg/m³
Formation energy from the elements ... -7.1 eV per formula unit
Crystal system ... monoclinic

Lattice parameters (Å, degrees): 4.0829 7.1071 7.2750 108.81 90.00 90.00
Fractional coordinates of all 8 atoms:
U1 0.5000 0.0000 0.5000
U2 0.0000 0.5000 0.5000
As1 0.0000 0.2529 0.7449
As2 0.5000 0.2580 0.2595
As3 0.5000 0.7420 0.7405
As4 0.0000 0.7471 0.2551
Nd1 0.0000 0.0000 0.0000
Np1 0.5000 0.5000 0.0000

---

VFePt2: optimized geometry, PBE.

Results
DOS(E_F) ... 0.85 states/eV per atom
Mass density ... 14.10 Mg/m³
Formation energy from the elements ... -1.2 eV per formula unit
Crystal system ... orthorhombic

Lattice parameters (Å, degrees): 2.7339 2.7261 7.9680 99.85 90.00 90.00
Fractional coordinates of all 4 atoms:
Pt1 0.5000 0.4532 0.9064
Pt2 0.5000 0.6907 0.3814
V1 0.0000 0.0701 0.1402
Fe1 0.0000 0.3115 0.6229